{
  "formula": "NiIr2",
  "functional": "meta-GGA SCAN",
  "state": "single point on PBEsol structure",
  "cell": [[4.8329, -1.3460, 0.0000], [4.8329, 1.3460, 0.0000], [-1.7112, 0.0000, 6.0123]],
  "species": ["Ni", "Ni", "Ir", "Ir", "Ir", "Ir"],
  "frac_coords": [[0.1930, 0.1930, 0.1375], [0.8070, 0.8070, 0.8625], [0.1403, 0.1403, 0.5326], [0.4718, 0.4718, 0.1895], [0.5282, 0.5282, 0.8105], [0.8597, 0.8597, 0.4674]],
  "mass_density_kg_m3": 18815,
  "n_ef_per_ev_cell": 7.8,
  "formation_energy_kj_per_mol_atoms": 5.5,
  "total_magnetization_mub_per_atom": 0.00,
  "crystal_system": "monoclinic"
}



{
  "formula": "NiIr3",
  "functional": "meta-GGA SCAN",
  "state": "single point on PBEsol structure",
  "cell": [[1.3423, 0.7750, 8.5180], [-1.3423, 0.7750, 8.5180], [0.0000, -1.5499, 8.5180]],
  "species": ["Ni", "Ir", "Ir", "Ir"],
  "frac_coords": [[0.0000, 0.0000, 0.0000], [0.2534, 0.2534, 0.2534], [0.5000, 0.5000, 0.5000], [0.7466, 0.7466, 0.7466]],
  "mass_density_kg_m3": 19845,
  "n_ef_per_ev_cell": 3.6,
  "formation_energy_kj_per_mol_atoms": 0.7,
  "total_magnetization_mub_per_atom": 0.17,
  "crystal_system": "trigonal"
}



{
  "formula": "NiIr3",
  "functional": "meta-GGA SCAN",
  "state": "single point on PBEsol structure",
  "cell": [[-1.8775, 1.8775, 7.5501], [1.8775, -1.8775, 7.5501], [1.8775, 1.8775, -7.5501]],
  "species": ["Ni", "Ni", "Ir", "Ir", "Ir", "Ir", "Ir", "Ir"],
  "frac_coords": [[0.1222, 0.1222, 0.0000], [0.8778, 0.8778, 0.0000], [0.0000, 0.5000, 0.5000], [0.2500, 0.7500, 0.5000], [0.3735, 0.3735, 0.0000], [0.5000, 0.0000, 0.5000], [0.6265, 0.6265, 0.0000], [0.7500, 0.2500, 0.5000]],
  "mass_density_kg_m3": 19821,
  "n_ef_per_ev_cell": 7.0,
  "formation_energy_kj_per_mol_atoms": 3.3,
  "total_magnetization_mub_per_atom": 0.47,
  "crystal_system": "tetragonal"
}



{
  "formula": "Ni2Ir",
  "functional": "meta-GGA SCAN",
  "state": "single point on PBEsol structure",
  "cell": [[5.0743, 0.0000, 0.0000], [0.0000, 3.6326, 0.0000], [0.0000, 0.0000, 7.5968]],
  "species": ["Ni", "Ni", "Ni", "Ni", "Ni", "Ni", "Ni", "Ni", "Ir", "Ir", "Ir", "Ir"],
  "frac_coords": [[0.1183, 0.2500, 0.2494], [0.1238, 0.2500, 0.9162], [0.3762, 0.7500, 0.4162], [0.3817, 0.7500, 0.7494], [0.6183, 0.2500, 0.2506], [0.6238, 0.2500, 0.5838], [0.8762, 0.7500, 0.0838], [0.8817, 0.7500, 0.7506], [0.1298, 0.2500, 0.5843], [0.3702, 0.7500, 0.0843], [0.6298, 0.2500, 0.9157], [0.8702, 0.7500, 0.4157]],
  "mass_density_kg_m3": 14686,
  "n_ef_per_ev_cell": 14.6,
  "formation_energy_kj_per_mol_atoms": 3.0,
  "total_magnetization_mub_per_atom": 0.69,
  "polymorph_energy_mev_per_atom": 14,
  "crystal_system": "orthorhombic"
}



{
  "formula": "NiIr2",
  "functional": "meta-GGA SCAN",
  "state": "single point on PBEsol structure",
  "cell": [[3.9397, -2.2747, 0.0000], [3.9397, 2.2747, 0.0000], [0.0000, 0.0000, 4.3349]],
  "species": ["Ni", "Ni", "Ir", "Ir", "Ir", "Ir"],
  "frac_coords": [[0.1708, 0.8292, 0.7500], [0.8292, 0.1708, 0.2500], [0.1622, 0.5106, 0.2500], [0.4894, 0.8378, 0.2500], [0.5106, 0.1622, 0.7500], [0.8378, 0.4894, 0.7500]],
  "mass_density_kg_m3": 18941,
  "n_ef_per_ev_cell": 6.5,
  "formation_energy_kj_per_mol_atoms": 4.4,
  "total_magnetization_mub_per_atom": 0.00,
  "crystal_system": "orthorhombic"
}



{
  "formula": "NiIr2",
  "functional": "meta-GGA SCAN",
  "state": "single point on PBEsol structure",
  "cell": [[5.2783, 0.0000, 0.0000], [0.0000, 3.7408, 0.0000], [0.0000, 0.0000, 7.8847]],
  "species": ["Ni", "Ni", "Ni", "Ni", "Ir", "Ir", "Ir", "Ir", "Ir", "Ir", "Ir", "Ir"],
  "frac_coords": [[0.1288, 0.2500, 0.0879], [0.3712, 0.7500, 0.5879], [0.6288, 0.2500, 0.4121], [0.8712, 0.7500, 0.9121], [0.1160, 0.2500, 0.7521], [0.1366, 0.2500, 0.4203], [0.3634, 0.7500, 0.9203], [0.3840, 0.7500, 0.2521], [0.6160, 0.2500, 0.7479], [0.6366, 0.2500, 0.0797], [0.8634, 0.7500, 0.5797], [0.8840, 0.7500, 0.2479]],
  "mass_density_kg_m3": 18906,
  "n_ef_per_ev_cell": 16.0,
  "formation_energy_kj_per_mol_atoms": 4.7,
  "total_magnetization_mub_per_atom": 0.00,
  "crystal_system": "orthorhombic"
}



{
  "formula": "Ni2Ir",
  "functional": "meta-GGA SCAN",
  "state": "single point on PBEsol structure",
  "cell": [[4.0258, 0.0000, 0.0000], [-2.0129, 3.4865, 0.0000], [0.0000, 0.0000, 2.5224]],
  "species": ["Ni", "Ni", "Ir"],
  "frac_coords": [[0.3333, 0.6667, 0.0000], [0.6667, 0.3333, 0.0000], [0.0000, 0.0000, 0.5000]],
  "mass_density_kg_m3": 14521,
  "n_ef_per_ev_cell": 2.6,
  "formation_energy_kj_per_mol_atoms": 9.3,
  "total_magnetization_mub_per_atom": 0.80,
  "polymorph_energy_mev_per_atom": 79,
  "crystal_system": "hexagonal"
}



{
  "formula": "NiIr2",
  "functional": "meta-GGA SCAN",
  "state": "single point on PBEsol structure",
  "cell": [[3.9547, 0.0000, 0.0000], [0.0000, 3.9547, 0.0000], [0.0000, 0.0000, 2.7851]],
  "species": ["Ni", "Ir", "Ir"],
  "frac_coords": [[0.0000, 0.0000, 0.0000], [0.0000, 0.5000, 0.5000], [0.5000, 0.0000, 0.5000]],
  "mass_density_kg_m3": 16893,
  "n_ef_per_ev_cell": 3.6,
  "formation_energy_kj_per_mol_atoms": 60.5,
  "total_magnetization_mub_per_atom": 0.00,
  "crystal_system": "tetragonal"
}



{
  "formula": "NiIr3",
  "functional": "meta-GGA SCAN",
  "state": "single point on PBEsol structure",
  "cell": [[2.6935, 0.0000, 0.0000], [0.0000, 2.6935, 0.0000], [0.0000, 0.0000, 7.2784]],
  "species": ["Ni", "Ir", "Ir", "Ir"],
  "frac_coords": [[0.0000, 0.0000, 0.0000], [0.0000, 0.0000, 0.5000], [0.5000, 0.5000, 0.2390], [0.5000, 0.5000, 0.7610]],
  "mass_density_kg_m3": 19980,
  "n_ef_per_ev_cell": 3.6,
  "formation_energy_kj_per_mol_atoms": 1.2,
  "total_magnetization_mub_per_atom": 0.10,
  "crystal_system": "tetragonal"
}



{
  "formula": "NiIr3",
  "functional": "meta-GGA SCAN",
  "state": "single point on PBEsol structure",
  "cell": [[2.6931, 0.0000, 0.0000], [0.0000, 4.2938, 0.0000], [0.0000, 0.0000, 4.6123]],
  "species": ["Ni", "Ir", "Ir", "Ir"],
  "frac_coords": [[0.0000, 0.0000, 0.0000], [0.0000, 0.5000, 0.6743], [0.5000, 0.0000, 0.5007], [0.5000, 0.5000, 0.1640]],
  "mass_density_kg_m3": 19781,
  "n_ef_per_ev_cell": 3.9,
  "formation_energy_kj_per_mol_atoms": 5.9,
  "total_magnetization_mub_per_atom": 0.44,
  "crystal_system": "orthorhombic"
}



{
  "formula": "NiIr2",
  "functional": "meta-GGA SCAN",
  "state": "single point on PBEsol structure",
  "cell": [[-1.3458, 1.8398, 3.9118], [1.3458, -1.8398, 3.9118], [1.3458, 1.8398, -3.9118]],
  "species": ["Ni", "Ir", "Ir"],
  "frac_coords": [[0.0000, 0.0000, 0.0000], [0.3346, 0.3346, 0.0000], [0.6654, 0.6654, 0.0000]],
  "mass_density_kg_m3": 18993,
  "n_ef_per_ev_cell": 2.9,
  "formation_energy_kj_per_mol_atoms": -2.8,
  "total_magnetization_mub_per_atom": 0.01,
  "crystal_system": "orthorhombic"
}



{
  "formula": "Ni2Ir",
  "functional": "meta-GGA SCAN",
  "state": "single point on PBEsol structure",
  "cell": [[4.6639, -1.3043, 0.0000], [4.6639, 1.3043, 0.0000], [-1.5183, 0.0000, 5.8417]],
  "species": ["Ni", "Ni", "Ni", "Ni", "Ir", "Ir"],
  "frac_coords": [[0.0000, 0.0000, 0.0000], [0.0536, 0.0536, 0.6118], [0.3870, 0.3870, 0.2692], [0.7200, 0.7200, 0.9434], [0.3347, 0.3347, 0.6738], [0.6645, 0.6645, 0.3284]],
  "mass_density_kg_m3": 14467,
  "n_ef_per_ev_cell": 6.7,
  "formation_energy_kj_per_mol_atoms": 3.8,
  "total_magnetization_mub_per_atom": 0.73,
  "polymorph_energy_mev_per_atom": 23,
  "crystal_system": "monoclinic"
}